Record 1
Entry from Alexandria via LeMat-Bulk: GeIr2N after structural relaxation (GGA-PBE).

Unit cell a=5.899 b=5.899 c=5.899 alpha=90.00 beta=90.00 gamma=90.00
Sites, in units of the cell vectors:
Ge (0.000, 0.000, 0.000)
Ge (0.000, 0.500, 0.500)
Ge (0.500, 0.000, 0.500)
Ge (0.500, 0.500, 0.000)
Ir (0.250, 0.250, 0.250)
Ir (0.250, 0.250, 0.750)
Ir (0.250, 0.750, 0.250)
Ir (0.250, 0.750, 0.750)
Ir (0.750, 0.250, 0.250)
Ir (0.750, 0.250, 0.750)
Ir (0.750, 0.750, 0.250)
Ir (0.750, 0.750, 0.750)
N (0.000, 0.000, 0.500)
N (0.000, 0.500, 0.000)
N (0.500, 0.000, 0.000)
N (0.500, 0.500, 0.500)

Values from the calculation:
Uncorrected formation energy, meV per atom: 941
Fermi-level density of states, states/eV/f.u.: 4.842
Space-group type: Fm-3m
Crystal system: cubic


Record 2
Entry from Alexandria via LeMat-Bulk: GeIr3N after structural relaxation (GGA-PBE).

Unit cell a=4.135 b=4.135 c=4.135 alpha=90.00 beta=90.00 gamma=90.00
Sites, in units of the cell vectors:
Ge (0.000, 0.000, 0.000)
Ir (0.000, 0.500, 0.500)
Ir (0.500, 0.000, 0.500)
Ir (0.500, 0.500, 0.000)
N (0.500, 0.500, 0.500)

Values from the calculation:
Uncorrected formation energy, meV per atom: 729
Fermi-level density of states, states/eV/f.u.: 6.233
Space-group type: Pm-3m
Crystal system: cubic


Record 3
Entry from Alexandria via LeMat-Bulk: GeIr3N after structural relaxation (GGA-PBE).

Unit cell a=4.590 b=4.590 c=4.590 alpha=90.00 beta=90.00 gamma=90.00
Sites, in units of the cell vectors:
Ge (0.000, 0.000, 0.000)
Ir (0.000, 0.000, 0.500)
Ir (0.000, 0.500, 0.000)
Ir (0.500, 0.000, 0.000)
N (0.500, 0.500, 0.500)

Values from the calculation:
Uncorrected formation energy, meV per atom: 2478
Fermi-level density of states, states/eV/f.u.: 8.541
Space-group type: Pm-3m
Crystal system: cubic


Record 4
Entry from Alexandria via LeMat-Bulk: GeIr2N after structural relaxation (GGA-PBE).

Unit cell a=5.006 b=5.006 c=10.316 alpha=90.00 beta=90.00 gamma=90.00
Sites, in units of the cell vectors:
Ge (0.000, 0.000, 0.000)
Ge (0.000, 0.500, 0.250)
Ge (0.500, 0.000, 0.750)
Ge (0.500, 0.500, 0.500)
Ir (0.165, 0.250, 0.625)
Ir (0.250, 0.665, 0.875)
Ir (0.250, 0.835, 0.375)
Ir (0.335, 0.250, 0.125)
Ir (0.665, 0.750, 0.125)
Ir (0.750, 0.165, 0.375)
Ir (0.750, 0.335, 0.875)
Ir (0.835, 0.750, 0.625)
N (0.000, 0.000, 0.500)
N (0.000, 0.500, 0.750)
N (0.500, 0.000, 0.250)
N (0.500, 0.500, 0.000)

Values from the calculation:
Uncorrected formation energy, meV per atom: 320
Fermi-level density of states, states/eV/f.u.: 1.425
Space-group type: I-42d
Crystal system: tetragonal


Record 5
Entry from Alexandria via LeMat-Bulk: NdGeIrN after structural relaxation (GGA-PBE).

Unit cell a=4.049 b=4.049 c=8.471 alpha=90.00 beta=90.00 gamma=90.00
Sites, in units of the cell vectors:
Nd (0.250, 0.250, 0.156)
Nd (0.750, 0.750, 0.844)
Ge (0.250, 0.250, 0.660)
Ge (0.750, 0.750, 0.340)
Ir (0.250, 0.750, 0.500)
Ir (0.750, 0.250, 0.500)
N (0.250, 0.250, 0.882)
N (0.750, 0.750, 0.118)

Values from the calculation:
Uncorrected formation energy, meV per atom: -806
Fermi-level density of states, states/eV/f.u.: 1.567
Space-group type: P4/nmm
Crystal system: tetragonal


Record 6
Entry from Alexandria via LeMat-Bulk: GeIrNO2 after structural relaxation (GGA-PBE).

Unit cell a=3.656 b=3.656 c=3.962 alpha=90.00 beta=90.00 gamma=90.00
Sites, in units of the cell vectors:
Ge (0.000, 0.000, 0.000)
Ir (0.500, 0.500, 0.500)
N (0.000, 0.000, 0.500)
O (0.000, 0.500, 0.000)
O (0.500, 0.000, 0.000)

Values from the calculation:
Uncorrected formation energy, meV per atom: 579
Fermi-level density of states, states/eV/f.u.: 3.707
Space-group type: P4/mmm
Crystal system: tetragonal


Record 7
Entry from Alexandria via LeMat-Bulk: GeIrNO2 after structural relaxation (GGA-PBE).

Unit cell a=4.101 b=4.101 c=3.696 alpha=90.00 beta=90.00 gamma=90.00
Sites, in units of the cell vectors:
Ge (0.000, 0.000, 0.000)
Ir (0.500, 0.500, 0.500)
N (0.500, 0.500, 0.000)
O (0.000, 0.500, 0.500)
O (0.500, 0.000, 0.500)

Values from the calculation:
Uncorrected formation energy, meV per atom: 142
Fermi-level density of states, states/eV/f.u.: 1.743
Space-group type: P4/mmm
Crystal system: tetragonal


Record 8
Entry from Alexandria via LeMat-Bulk: GePIrN after structural relaxation (GGA-PBE).

Unit cell a=10.227 b=2.807 c=4.220 alpha=90.00 beta=106.38 gamma=90.00
Sites, in units of the cell vectors:
Ge (0.000, 0.000, 0.000)
Ge (0.500, 0.500, 0.000)
P (0.273, 0.500, 0.593)
P (0.773, 0.000, 0.593)
Ir (0.044, 0.500, 0.523)
Ir (0.544, 0.000, 0.523)
N (0.321, 0.000, 0.419)
N (0.821, 0.500, 0.419)

Values from the calculation:
Uncorrected formation energy, meV per atom: -97
Fermi-level density of states, states/eV/f.u.: 1.376
Space-group type: Cm
Crystal system: monoclinic


Question: Which value of Fermi-level density of states does entry 5 give?
Answer: 1.567 states/eV/f.u.